(1)
Entry from the Alexandria database: a relaxed Cd2CuMo crystal (PBE-GGA).

```
4
Lattice="4.109 0.000 0.000 0.000 4.104 0.000 0.000 0.000 4.084" Properties=species:S:1:pos:R:3 pbc="T T T"
Cd 2.054 2.052 0.000
Cu 2.054 0.000 2.042
Mo 0.000 2.052 2.042
Cd 0.000 0.000 0.000
```

## Properties
space-group type = No. 123
ΔE to the lowest computed polymorph = 62 kJ/mol of formula units
density = 9.3 Mg/m³
ΔH_f (0 K) = 159 kJ/mol of formula units
total energy = -0.139 Ha/atom
total magnetization = 0.000 μB per cell

(2)
Entry from the Alexandria database: a relaxed CdCuMo2 crystal (PBE-GGA).

```
4
Lattice="4.508 0.000 0.000 2.254 3.904 0.000 2.254 1.301 3.681" Properties=species:S:1:pos:R:3 pbc="T T T"
Cd 4.508 2.603 1.840
Mo 2.254 1.301 0.920
Mo 0.000 0.000 0.000
Cu 6.762 3.904 2.761
```

## Properties
space-group type = No. 216
density = 9.4 Mg/m³
ΔH_f (0 K) = 207 kJ/mol of formula units
total energy = -0.225 Ha/atom
total magnetization = 0.000 μB per cell

(3)
Entry from the Alexandria database: a relaxed CdCu2Mo2 crystal (PBE-GGA).

```
10
Lattice="7.533 0.000 0.000 0.000 7.533 0.000 0.000 0.000 2.816" Properties=species:S:1:pos:R:3 pbc="T T T"
Mo 4.640 6.659 1.408
Mo 0.874 4.640 1.408
Cd 3.766 3.766 0.000
Mo 6.659 2.893 1.408
Cu 1.329 2.438 0.000
Cu 5.095 1.329 0.000
Mo 2.893 0.874 1.408
Cu 2.438 6.204 0.000
Cd 0.000 0.000 0.000
Cu 6.204 5.095 0.000
```

## Properties
space-group type = No. 127
density = 9.0 Mg/m³
ΔH_f (0 K) = 218 kJ/mol of formula units
total energy = -0.210 Ha/atom
total magnetization = 0.000 μB per cell

(4)
Entry from the Alexandria database: a relaxed Cd2CuMo crystal (PBE-GGA).

```
4
Lattice="5.692 0.002 0.008 2.861 4.921 -0.008 -3.570 -3.689 2.458" Properties=species:S:1:pos:R:3 pbc="T T T"
Cd 4.457 2.565 0.000
Cd 8.373 4.819 0.000
Cu 3.199 -0.613 1.233
Mo 1.784 1.846 1.225
```

## Properties
space-group type = No. 71
ΔE to the lowest computed polymorph = 75 kJ/mol of formula units
density = 9.3 Mg/m³
ΔH_f (0 K) = 172 kJ/mol of formula units
total energy = -0.138 Ha/atom
total magnetization = 0.524 μB per cell

(5)
Entry from the Alexandria database: a relaxed CdCuMo2 crystal (PBE-GGA).

```
4
Lattice="2.669 0.000 0.000 0.000 4.180 0.000 0.000 0.000 5.815" Properties=species:S:1:pos:R:3 pbc="T T T"
Cd 0.000 0.000 2.990
Mo 1.335 2.090 1.317
Mo 0.000 0.000 0.022
Cu 1.335 2.090 4.395
```

## Properties
space-group type = No. 25
density = 9.4 Mg/m³
ΔH_f (0 K) = 151 kJ/mol of formula units
total energy = -0.231 Ha/atom
total magnetization = 0.000 μB per cell

(6)
Entry from the Alexandria database: a relaxed CdCuMo2 crystal (PBE-GGA).

```
8
Lattice="-2.873 -1.799 1.449 2.025 -3.074 0.198 2.631 0.175 10.123" Properties=species:S:1:pos:R:3 pbc="T T T"
Cd -0.333 -2.030 6.198
Mo 1.210 -4.101 9.032
Cu 2.116 -2.668 5.573
Cu -0.424 -2.437 0.824
Mo -0.856 -1.447 3.447
Mo 1.535 -2.121 2.851
Mo 1.676 -1.727 8.212
Cd 0.000 0.000 0.000
```

## Properties
space-group type = No. 122
density = 8.9 Mg/m³
ΔH_f (0 K) = 284 kJ/mol of formula units
total energy = -0.218 Ha/atom
total magnetization = 0.000 μB per cell

(7)
Entry from the Alexandria database: a relaxed CdCuMo2 crystal (PBE-GGA).

```
4
Lattice="-3.075 -0.850 0.608 0.398 -2.699 -1.762 1.863 -3.072 5.127" Properties=species:S:1:pos:R:3 pbc="T T T"
Cd 0.969 -1.598 2.667
Mo 0.021 -0.035 0.058
Mo -0.952 -2.412 0.487
Cu 0.079 -4.112 3.325
```

## Properties
space-group type = No. 99
density = 9.3 Mg/m³
ΔH_f (0 K) = 117 kJ/mol of formula units
total energy = -0.234 Ha/atom
total magnetization = 0.000 μB per cell

(8)
Entry from the Alexandria database: a relaxed CdCuMo2 crystal (PBE-GGA).

```
4
Lattice="3.761 0.000 0.000 0.000 3.755 0.000 0.000 0.000 4.493" Properties=species:S:1:pos:R:3 pbc="T T T"
Mo 0.000 0.000 0.000
Cd 1.880 0.000 2.246
Mo 1.880 1.878 0.000
Cu 0.000 1.878 2.246
```

## Properties
space-group type = No. 123
density = 9.6 Mg/m³
ΔH_f (0 K) = 134 kJ/mol of formula units
total energy = -0.232 Ha/atom
total magnetization = 0.000 μB per cell

(9)
Entry from the Alexandria database: a relaxed Cd2CuMo crystal (PBE-GGA).

```
4
Lattice="5.349 0.008 0.029 4.626 2.685 0.029 1.502 0.406 4.847" Properties=species:S:1:pos:R:3 pbc="T T T"
Cu 8.608 2.324 3.679
Mo 2.869 0.775 1.226
Cd 1.656 0.447 4.798
Cd 5.585 1.508 2.502
```

## Properties
space-group type = No. 12
ΔE to the lowest computed polymorph = 76 kJ/mol of formula units
density = 9.2 Mg/m³
ΔH_f (0 K) = 173 kJ/mol of formula units
total energy = -0.138 Ha/atom
total magnetization = 0.522 μB per cell

(10)
Entry from the Alexandria database: a relaxed Cd2CuMo crystal (PBE-GGA).

```
4
Lattice="-8.077 5.090 -1.451 -9.279 2.508 -0.935 -8.580 4.246 1.272" Properties=species:S:1:pos:R:3 pbc="T T T"
Cu -19.452 8.882 -0.836
Mo -6.484 2.961 -0.279
Cd -0.105 0.048 -0.005
Cd -12.863 5.874 -0.553
```

## Properties
space-group type = No. 166
ΔE to the lowest computed polymorph = 39 kJ/mol of formula units
density = 9.2 Mg/m³
ΔH_f (0 K) = 136 kJ/mol of formula units
total energy = -0.141 Ha/atom
total magnetization = 0.241 μB per cell

(11)
Entry from the Alexandria database: a relaxed CdCuMo2 crystal (PBE-GGA).

```
4
Lattice="-2.138 1.682 0.252 0.632 -0.834 2.523 5.600 6.982 0.905" Properties=species:S:1:pos:R:3 pbc="T T T"
Mo 5.551 6.922 0.897
Cd 2.868 3.576 0.464
Mo 0.561 2.062 1.600
Cu 3.513 5.743 2.077
```

## Properties
space-group type = No. 35
density = 9.5 Mg/m³
ΔH_f (0 K) = 87 kJ/mol of formula units
total energy = -0.237 Ha/atom
total magnetization = 0.000 μB per cell

(12)
Entry from the Alexandria database: a relaxed CdCuMo2 crystal (PBE-GGA).

```
4
Lattice="3.369 0.000 0.000 0.000 3.369 0.000 0.000 0.000 5.815" Properties=species:S:1:pos:R:3 pbc="T T T"
Mo 0.000 0.000 3.206
Cd 1.684 1.684 1.454
Mo 0.000 0.000 5.516
Cu 1.684 1.684 4.361
```

## Properties
space-group type = No. 123
density = 9.3 Mg/m³
ΔH_f (0 K) = 181 kJ/mol of formula units
total energy = -0.228 Ha/atom
total magnetization = 0.000 μB per cell